! Na2HoVO4 (PBE+U, relaxed); values from VASP
! * final energy: -6.6612 eV/atom
&SYSTEM
  ibrav = 0, nat = 8, ntyp = 4
/
ATOMIC_SPECIES
Na 22.99 Na.upf
O 16.00 O.upf
V 50.94 V.upf
Ho 164.93 Ho.upf
CELL_PARAMETERS angstrom
3.2703 0.0000 0.0000
0.0000 5.5735 0.0847
0.0000 -1.9564 5.4801
ATOMIC_POSITIONS crystal
Na 0.5000 0.0000 0.5000
O 0.0000 0.7554 0.2075
Na 0.0000 0.5000 0.5000
O 0.5000 0.7813 0.7951
O 0.5000 0.2187 0.2049
V 0.0000 0.0000 0.0000
O 0.0000 0.2446 0.7925
Ho 0.5000 0.5000 0.0000